Entry 1:
VASP calculation (PBE) on a geometry-optimized TmMgZrMn structure.

Unit cell a=4.9299 b=4.9299 c=4.9299 alpha=60.00 beta=60.00 gamma=60.00
Last column: magnetic moment on the atom in μB.
Fractional positions:
Tm  0.0000  0.0000  0.0000  -0.23
Mg  0.2500  0.2500  0.2500  -0.01
Mn  0.7500  0.7500  0.7500  3.02
Zr  0.5000  0.5000  0.5000  -0.61

Results
**Spin magnetization**: 1.90 μB per formula unit
**Formation enthalpy at 0 K**: 0.1433 eV per atom
**Fermi-level density of states**: 1.256 states/eV per atom
**Space group**: F-43m (216)

---

Entry 2:
VASP calculation (PBE) on a geometry-optimized Li8N3 structure.

Unit cell a=4.9436 b=4.9436 c=4.9436 alpha=89.81 beta=89.81 gamma=89.81
Last column: magnetic moment on the atom in μB.
Fractional positions:
Li  0.2724  0.7261  0.7258  0.00
Li  0.2742  0.7276  0.2739  0.00
Li  0.2739  0.2742  0.7276  0.00
Li  0.7276  0.2739  0.2742  0.00
Li  0.7261  0.7258  0.2724  0.00
Li  0.7252  0.7252  0.7252  0.00
Li  0.7258  0.2724  0.7261  0.00
Li  0.2748  0.2748  0.2748  0.00
N  0.5000  0.0000  0.5000  0.25
N  0.0000  0.5000  0.5000  0.25
N  0.5000  0.5000  0.0000  0.25

Results
**Formation energy without anion corrections**: -21.1 kJ per mole of atoms
**Spin magnetization**: 1.05 μB per formula unit
**Fermi-level density of states**: 0.510 states/eV per atom
**Space group**: R-3m (166)